This record from Alexandria via LeMat-Bulk describes crystalline ZnH2Rh at its relaxed geometry. The functional is GGA-PBE.

Lattice parameters (Å, degrees): 3.0623 3.0623 4.4328 89.83 89.83 60.07
Sites, in units of the cell vectors:
Rh 0.1989 0.1989 0.3264
Zn 0.5308 0.5308 0.7944
H 0.8655 0.8655 0.4583
H 0.5332 0.5332 0.1929

Total energy: -15.4 eV/cell
SG: Cm (8)